Entry 1:
# PBE HfVRh2I, relaxed
# Raw total energy: -6.018 eV per atom
# SG: P4/mmm (123)
# Uncorrected formation energy: 5.23 eV/f.u.
data_HfVRh2I
_cell_length_a 4.7787
_cell_length_b 4.7787
_cell_length_c 4.7138
_cell_angle_alpha 90.00
_cell_angle_beta 90.00
_cell_angle_gamma 90.00
_space_group_name_H-M_alt 'P 1'
_space_group_IT_number 1
_space_group_name_Hall 'P 1'
loop_
_atom_site_label
_atom_site_type_symbol
_atom_site_fract_x
_atom_site_fract_y
_atom_site_fract_z
Hf1 Hf 0.0000 0.0000 0.0000
V1 V 0.5000 0.5000 0.0000
Rh1 Rh 0.0000 0.5000 0.5000
Rh2 Rh 0.5000 0.0000 0.5000
I1 I 0.5000 0.5000 0.5000



Entry 2:
# PBE Hf3RuI, relaxed
# Raw total energy: -7.836 eV per atom
# SG: Pm-3m (221)
# Uncorrected formation energy: 1.51 eV/f.u.
# ΔE to the lowest computed polymorph: 0 meV/atom
data_Hf3RuI
_cell_length_a 5.0416
_cell_length_b 5.0416
_cell_length_c 5.0416
_cell_angle_alpha 90.00
_cell_angle_beta 90.00
_cell_angle_gamma 90.00
_space_group_name_H-M_alt 'P 1'
_space_group_IT_number 1
_space_group_name_Hall 'P 1'
loop_
_atom_site_label
_atom_site_type_symbol
_atom_site_fract_x
_atom_site_fract_y
_atom_site_fract_z
Hf1 Hf 0.0000 0.0000 0.5000
Hf2 Hf 0.0000 0.5000 0.0000
Hf3 Hf 0.5000 0.0000 0.0000
Ru1 Ru 0.0000 0.0000 0.0000
I1 I 0.5000 0.5000 0.5000



Entry 3:
# PBE HfRuI3, relaxed
# Raw total energy: -3.967 eV per atom
# SG: Pm-3m (221)
# Uncorrected formation energy: 4.05 eV/f.u.
# ΔE to the lowest computed polymorph: 0 meV/atom
data_HfRuI3
_cell_length_a 5.2708
_cell_length_b 5.2708
_cell_length_c 5.2708
_cell_angle_alpha 90.00
_cell_angle_beta 90.00
_cell_angle_gamma 90.00
_space_group_name_H-M_alt 'P 1'
_space_group_IT_number 1
_space_group_name_Hall 'P 1'
loop_
_atom_site_label
_atom_site_type_symbol
_atom_site_fract_x
_atom_site_fract_y
_atom_site_fract_z
Hf1 Hf 0.0000 0.0000 0.0000
Ru1 Ru 0.5000 0.5000 0.5000
I1 I 0.0000 0.5000 0.5000
I2 I 0.5000 0.0000 0.5000
I3 I 0.5000 0.5000 0.0000



Entry 4:
# PBE HfRu3I, relaxed
# Raw total energy: -6.410 eV per atom
# SG: Pm-3m (221)
# Uncorrected formation energy: 7.28 eV/f.u.
# ΔE to the lowest computed polymorph: 0 meV/atom
data_HfRu3I
_cell_length_a 4.7303
_cell_length_b 4.7303
_cell_length_c 4.7303
_cell_angle_alpha 90.00
_cell_angle_beta 90.00
_cell_angle_gamma 90.00
_space_group_name_H-M_alt 'P 1'
_space_group_IT_number 1
_space_group_name_Hall 'P 1'
loop_
_atom_site_label
_atom_site_type_symbol
_atom_site_fract_x
_atom_site_fract_y
_atom_site_fract_z
Hf1 Hf 0.0000 0.0000 0.0000
Ru1 Ru 0.0000 0.5000 0.5000
Ru2 Ru 0.5000 0.0000 0.5000
Ru3 Ru 0.5000 0.5000 0.0000
I1 I 0.5000 0.5000 0.5000



Entry 5:
# PBE HfRuI2, relaxed
# Raw total energy: -5.049 eV per atom
# SG: Fm-3m (225)
# Uncorrected formation energy: 2.13 eV/f.u.
# ΔE to the lowest computed polymorph: 0 meV/atom
data_HfRuI2
_cell_length_a 4.9231
_cell_length_b 4.9231
_cell_length_c 4.9231
_cell_angle_alpha 60.00
_cell_angle_beta 60.00
_cell_angle_gamma 60.00
_space_group_name_H-M_alt 'P 1'
_space_group_IT_number 1
_space_group_name_Hall 'P 1'
loop_
_atom_site_label
_atom_site_type_symbol
_atom_site_fract_x
_atom_site_fract_y
_atom_site_fract_z
Hf1 Hf 0.0000 0.0000 0.0000
Ru1 Ru 0.5000 0.5000 0.5000
I1 I 0.2500 0.2500 0.2500
I2 I 0.7500 0.7500 0.7500



Entry 6:
# PBE HfRu2I, relaxed
# Raw total energy: -6.750 eV per atom
# SG: I-42d (122)
# Uncorrected formation energy: 3.05 eV/f.u.
# ΔE to the lowest computed polymorph: 363 meV/atom
data_HfRu2I
_cell_length_a 7.4756
_cell_length_b 7.4756
_cell_length_c 7.4756
_cell_angle_alpha 135.64
_cell_angle_beta 135.64
_cell_angle_gamma 64.54
_space_group_name_H-M_alt 'P 1'
_space_group_IT_number 1
_space_group_name_Hall 'P 1'
loop_
_atom_site_label
_atom_site_type_symbol
_atom_site_fract_x
_atom_site_fract_y
_atom_site_fract_z
Hf1 Hf 0.0000 0.0000 0.0000
Hf2 Hf 0.7500 0.2500 0.5000
Ru1 Ru 0.1210 0.6250 0.9960
Ru2 Ru 0.3750 0.3710 0.4960
Ru3 Ru 0.6290 0.1250 0.0040
Ru4 Ru 0.8750 0.8790 0.5040
I1 I 0.2500 0.7500 0.5000
I2 I 0.5000 0.5000 0.0000



Entry 7:
# PBE Hf2RuI, relaxed
# Raw total energy: -7.186 eV per atom
# SG: I-42d (122)
# Uncorrected formation energy: 1.99 eV/f.u.
# ΔE to the lowest computed polymorph: 249 meV/atom
data_Hf2RuI
_cell_length_a 7.8121
_cell_length_b 7.8121
_cell_length_c 7.8121
_cell_angle_alpha 133.76
_cell_angle_beta 133.76
_cell_angle_gamma 67.46
_space_group_name_H-M_alt 'P 1'
_space_group_IT_number 1
_space_group_name_Hall 'P 1'
loop_
_atom_site_label
_atom_site_type_symbol
_atom_site_fract_x
_atom_site_fract_y
_atom_site_fract_z
Hf1 Hf 0.0433 0.6250 0.9183
Hf2 Hf 0.3750 0.2933 0.4183
Hf3 Hf 0.7067 0.1250 0.0817
Hf4 Hf 0.8750 0.9567 0.5817
Ru1 Ru 0.0000 0.0000 0.0000
Ru2 Ru 0.7500 0.2500 0.5000
I1 I 0.2500 0.7500 0.5000
I2 I 0.5000 0.5000 0.0000



Entry 8:
# PBE HfRu2I, relaxed
# Raw total energy: -7.113 eV per atom
# SG: Fm-3m (225)
# Uncorrected formation energy: 1.60 eV/f.u.
# ΔE to the lowest computed polymorph: 0 meV/atom
data_HfRu2I
_cell_length_a 4.6749
_cell_length_b 4.6749
_cell_length_c 4.6749
_cell_angle_alpha 60.00
_cell_angle_beta 60.00
_cell_angle_gamma 60.00
_space_group_name_H-M_alt 'P 1'
_space_group_IT_number 1
_space_group_name_Hall 'P 1'
loop_
_atom_site_label
_atom_site_type_symbol
_atom_site_fract_x
_atom_site_fract_y
_atom_site_fract_z
Hf1 Hf 0.0000 0.0000 0.0000
Ru1 Ru 0.2500 0.2500 0.2500
Ru2 Ru 0.7500 0.7500 0.7500
I1 I 0.5000 0.5000 0.5000



Entry 9:
# PBE Hf2RuI, relaxed
# Raw total energy: -7.434 eV per atom
# SG: Fm-3m (225)
# Uncorrected formation energy: 1.00 eV/f.u.
# ΔE to the lowest computed polymorph: 0 meV/atom
data_Hf2RuI
_cell_length_a 4.8458
_cell_length_b 4.8458
_cell_length_c 4.8458
_cell_angle_alpha 60.00
_cell_angle_beta 60.00
_cell_angle_gamma 60.00
_space_group_name_H-M_alt 'P 1'
_space_group_IT_number 1
_space_group_name_Hall 'P 1'
loop_
_atom_site_label
_atom_site_type_symbol
_atom_site_fract_x
_atom_site_fract_y
_atom_site_fract_z
Hf1 Hf 0.2500 0.2500 0.2500
Hf2 Hf 0.7500 0.7500 0.7500
Ru1 Ru 0.0000 0.0000 0.0000
I1 I 0.5000 0.5000 0.5000



Entry 10:
# PBE Hf3RuI, relaxed
# Raw total energy: -6.509 eV per atom
# SG: Pm-3m (221)
# Uncorrected formation energy: 8.14 eV/f.u.
# ΔE to the lowest computed polymorph: 1327 meV/atom
data_Hf3RuI
_cell_length_a 5.0689
_cell_length_b 5.0689
_cell_length_c 5.0689
_cell_angle_alpha 90.00
_cell_angle_beta 90.00
_cell_angle_gamma 90.00
_space_group_name_H-M_alt 'P 1'
_space_group_IT_number 1
_space_group_name_Hall 'P 1'
loop_
_atom_site_label
_atom_site_type_symbol
_atom_site_fract_x
_atom_site_fract_y
_atom_site_fract_z
Hf1 Hf 0.0000 0.0000 0.5000
Hf2 Hf 0.0000 0.5000 0.0000
Hf3 Hf 0.5000 0.0000 0.0000
Ru1 Ru 0.5000 0.5000 0.5000
I1 I 0.0000 0.0000 0.0000



Entry 11:
# PBE HfRuI2, relaxed
# Raw total energy: -4.822 eV per atom
# SG: I-42d (122)
# Uncorrected formation energy: 3.04 eV/f.u.
# ΔE to the lowest computed polymorph: 226 meV/atom
data_HfRuI2
_cell_length_a 7.3601
_cell_length_b 7.3601
_cell_length_c 7.3601
_cell_angle_alpha 128.94
_cell_angle_beta 128.94
_cell_angle_gamma 75.11
_space_group_name_H-M_alt 'P 1'
_space_group_IT_number 1
_space_group_name_Hall 'P 1'
loop_
_atom_site_label
_atom_site_type_symbol
_atom_site_fract_x
_atom_site_fract_y
_atom_site_fract_z
Hf1 Hf 0.0000 0.0000 0.0000
Hf2 Hf 0.7500 0.2500 0.5000
Ru1 Ru 0.2500 0.7500 0.5000
Ru2 Ru 0.5000 0.5000 0.0000
I1 I 0.1527 0.6250 0.0277
I2 I 0.3750 0.4027 0.5277
I3 I 0.5973 0.1250 0.9723
I4 I 0.8750 0.8473 0.4723



Entry 12:
# PBE HfRu3I, relaxed
# Raw total energy: -6.288 eV per atom
# SG: Pm-3m (221)
# Uncorrected formation energy: 7.89 eV/f.u.
# ΔE to the lowest computed polymorph: 123 meV/atom
data_HfRu3I
_cell_length_a 4.8963
_cell_length_b 4.8963
_cell_length_c 4.8963
_cell_angle_alpha 90.00
_cell_angle_beta 90.00
_cell_angle_gamma 90.00
_space_group_name_H-M_alt 'P 1'
_space_group_IT_number 1
_space_group_name_Hall 'P 1'
loop_
_atom_site_label
_atom_site_type_symbol
_atom_site_fract_x
_atom_site_fract_y
_atom_site_fract_z
Hf1 Hf 0.0000 0.0000 0.0000
Ru1 Ru 0.0000 0.0000 0.5000
Ru2 Ru 0.0000 0.5000 0.0000
Ru3 Ru 0.5000 0.0000 0.0000
I1 I 0.5000 0.5000 0.5000



What is the uncorrected formation energy in the second record?
1.51 eV/f.u.